# NbTlAsO PBE-GGA optimized geometry
data_NbTlAsO
_cell_length_a 4.251
_cell_length_b 4.251
_cell_length_c 8.061
_cell_angle_alpha 90.00
_cell_angle_beta 90.00
_cell_angle_gamma 90.00
_symmetry_space_group_name_H-M 'P 1'
_symmetry_Int_Tables_number 1
_symmetry_space_group_name_Hall 'P 1'
loop_
_atom_site_label
_atom_site_type_symbol
_atom_site_fract_x
_atom_site_fract_y
_atom_site_fract_z
Tl1 Tl 0.500 0.000 0.131
Tl2 Tl 0.000 0.500 0.869
Nb1 Nb 0.500 0.500 0.500
Nb2 Nb 0.000 0.000 0.500
O1 O 0.500 0.500 0.000
O2 O 0.000 0.000 0.000
As1 As 0.000 0.500 0.308
As2 As 0.500 0.000 0.692
# Final energy   -5.75 eV/atom